(1)
A plane-wave DFT calculation with PBE-GGA was carried out for crystalline Cs2KAuI at its relaxed geometry.

As for the uncorrected formation energy: -0.59 eV/atom. The theoretical density comes out at 3.5 g cm⁻³. The value obtained for the total energy is -2.1172 eV per atom. Its total magnetic moment is 0.00 Bohr magnetons per cell.

The structure belongs to space group P4/mmm (No. 123); the cell edges are 6.876, 6.876 and 6.391 Å and the angles 90.00°, 90.00° and 90.00°. The inequivalent atoms are Cs at (0.000, 0.500, 0.000), K at (0.000, 0.000, 0.500), Au at (0.000, 0.000, 0.000) and I at (0.500, 0.500, 0.500).



(2)
A plane-wave DFT calculation with PBE-GGA was carried out for crystalline ZrAlCr2 at its relaxed geometry.

Its calculated formation energy is 71 meV/atom. The theoretical density comes out at 6.0 g cm⁻³. The value obtained for the total energy is -7.8131 eV per atom. Its total magnetic moment is 0.00 Bohr magnetons per cell.

The structure belongs to space group Pm (No. 6); the cell edges are 2.732, 3.885 and 5.955 Å and the angles 90.00°, 102.36° and 90.00°. The inequivalent atoms are Zr at (0.000, 0.000, 0.000), Al at (0.604, 0.500, 0.312), Cr at (0.104, 0.000, 0.532) and Cr at (0.417, 0.500, 0.711).



(3)
A plane-wave DFT calculation with PBE-GGA was carried out for crystalline Tc3Mo5 at its relaxed geometry.

Its calculated formation energy is 261 meV/atom. The theoretical density comes out at 10.1 g cm⁻³. The value obtained for the total energy is -10.3957 eV per atom. Its total magnetic moment is 0.00 Bohr magnetons per cell. Its offset from the most stable computed form is 198 meV/atom.

The structure belongs to space group P6_3/mcm (No. 193); the cell edges are 7.5669, 7.5669 and 5.1295 Å and the angles 90.00°, 90.00° and 120.00°. The inequivalent atoms are Tc at (0.0000, 0.4035, 0.2500), Mo at (0.0000, 0.2296, 0.7500) and Mo at (0.3333, 0.6667, 0.0000).



(4)
A plane-wave DFT calculation with PBE-GGA was carried out for crystalline ZnFeCo2H at its relaxed geometry.

The theoretical density comes out at 8.2 g cm⁻³. The value obtained for the total energy is -5.4725 eV per atom. Its total magnetic moment is 4.92 Bohr magnetons per cell. Its offset from the most stable computed form is 0 meV/atom.

The structure belongs to space group P4/mmm (No. 123); the cell edges are 3.664, 3.664 and 3.624 Å and the angles 90.00°, 90.00° and 90.00°. The inequivalent atoms are Zn at (0.000, 0.000, 0.000), Fe at (0.500, 0.500, 0.000), Co at (0.000, 0.500, 0.500) and H at (0.500, 0.500, 0.500).



(5)
A plane-wave DFT calculation with PBE-GGA was carried out for crystalline CsYScS3 at its relaxed geometry.

As for the uncorrected formation energy: -1.72 eV/atom. The theoretical density comes out at 3.2 g cm⁻³. The value obtained for the total energy is -6.0566 eV per atom. Its total magnetic moment is 0.00 Bohr magnetons per cell.

The structure belongs to space group P2_1/m (No. 11); the cell edges are 9.281, 4.268 and 10.249 Å and the angles 90.00°, 111.46° and 90.00°. The inequivalent atoms are Cs at (0.221, 0.250, 0.231), Y at (0.338, 0.750, 0.868), Sc at (0.089, 0.250, 0.612), S at (0.132, 0.250, 0.862), S at (0.194, 0.750, 0.561) and S at (0.478, 0.750, 0.149).



(6)
A plane-wave DFT calculation with PBE-GGA was carried out for crystalline Fe3Si at its relaxed geometry.

As for the uncorrected formation energy: -0.24 eV/atom. The theoretical density comes out at 7.1 g cm⁻³. The value obtained for the total energy is -7.9410 eV per atom. Its total magnetic moment is 25.93 Bohr magnetons per cell.

The structure belongs to space group I4/mmm (No. 139); the cell edges are 3.567, 3.567 and 14.404 Å and the angles 90.00°, 90.00° and 90.00°. The inequivalent atoms are Fe at (0.000, 0.000, 0.123), Fe at (0.000, 0.500, 0.000), Fe at (0.000, 0.500, 0.250) and Si at (0.000, 0.000, 0.371).



(7)
A plane-wave DFT calculation with PBE-GGA was carried out for crystalline U2HI5 at its relaxed geometry.

The theoretical density comes out at 6.1 g cm⁻³. The value obtained for the total energy is -4.7839 eV per atom. Its total magnetic moment is 24.00 Bohr magnetons per cell.

The structure belongs to space group Cmcm (No. 63); the cell edges are 3.754, 16.147 and 19.936 Å and the angles 90.00°, 90.00° and 90.00°. The inequivalent atoms are U at (0.000, 0.205, 0.176), H at (0.000, 0.270, 0.750), I at (0.000, 0.146, 0.643), I at (0.000, 0.364, 0.564) and I at (0.000, 0.438, 0.750).



(8)
A plane-wave DFT calculation with PBE-GGA was carried out for crystalline Be2AuI at its relaxed geometry.

As for the uncorrected formation energy: 1.00 eV/atom. The theoretical density comes out at 8.1 g cm⁻³. The value obtained for the total energy is -2.0696 eV per atom. Its total magnetic moment is 0.00 Bohr magnetons per cell. Its offset from the most stable computed form is 991 meV/atom.

The structure belongs to space group Fm-3m (No. 225); the cell edges are 6.535, 6.535 and 6.535 Å and the angles 90.00°, 90.00° and 90.00°. The inequivalent atoms are Be at (0.250, 0.250, 0.250), Au at (0.000, 0.000, 0.000) and I at (0.000, 0.000, 0.500).



Which formula does entry 1 have? Cs2KAuI